Version one
Entry from Alexandria: a relaxed Hf2Pd2Pt crystal (GGA-PBE).

Summary:
Magnetization ... 0.0 μB per formula unit
Space-group type ... P4/mbm (127)

Lattice parameters (Å, degrees): 7.3515 7.3515 3.3140 90.00 90.00 90.00
Closest atoms and distances in Å follow each position.
Element x y z (fractional)
1 Hf 0.1759 0.3241 0.0000  6 Pd 2.62-2.81
2 Hf 0.3241 0.8241 0.0000  6 Pd 2.62-2.81
3 Hf 0.6759 0.1759 0.0000  6 Pd 2.62-2.81
4 Hf 0.8241 0.6759 0.0000  6 Pd 2.62-2.81
5 Pd 0.1288 0.6288 0.5000  6 Hf 2.62-2.81, 1 Pd 2.68, 2 Pt 2.89
6 Pd 0.3712 0.1288 0.5000  6 Hf 2.62-2.81, 1 Pd 2.68, 2 Pt 2.89
7 Pd 0.6288 0.8712 0.5000  6 Hf 2.62-2.81, 1 Pd 2.68, 2 Pt 2.89
8 Pd 0.8712 0.3712 0.5000  6 Hf 2.62-2.81, 1 Pd 2.68, 2 Pt 2.89
9 Pt 0.0000 0.0000 0.5000  4 Pd 2.89, 8 Hf 3.18
10 Pt 0.5000 0.5000 0.5000  4 Pd 2.89, 8 Hf 3.18


Version two
Entry from Alexandria: a relaxed Hf2Pd2Pt crystal (GGA-PBE).

Summary:
Magnetization ... 0.0 μB per formula unit
Space-group type ... Ibam (72)

Lattice parameters (Å, degrees): 7.0242 7.0242 7.0242 126.50 72.00 135.58
Closest atoms and distances in Å follow each position.
Element x y z (fractional)
1 Hf 0.1647 0.2214 0.3860  4 Pd 2.65-2.88, 2 Pt 2.69
2 Hf 0.3353 0.7214 0.0567  4 Pd 2.65-2.88, 2 Pt 2.69
3 Hf 0.6647 0.2786 0.9433  4 Pd 2.65-2.88, 2 Pt 2.69
4 Hf 0.8353 0.7786 0.6140  4 Pd 2.65-2.88, 2 Pt 2.69
5 Pd 0.1065 0.6371 0.7436  4 Hf 2.65-2.88, 2 Pt 2.91
6 Pd 0.3935 0.1371 0.5306  4 Hf 2.65-2.88, 2 Pt 2.91
7 Pd 0.6065 0.8629 0.4694  4 Hf 2.65-2.88, 2 Pt 2.91
8 Pd 0.8935 0.3629 0.2564  4 Hf 2.65-2.88, 2 Pt 2.91
9 Pt 0.2500 0.2500 0.0000  2 Pt 2.66, 4 Hf 2.69, 4 Pd 2.91
10 Pt 0.7500 0.7500 0.0000  2 Pt 2.66, 4 Hf 2.69, 4 Pd 2.91


Version three
Entry from Alexandria: a relaxed Hf2Pd2Pt crystal (GGA-PBE).

Summary:
Magnetization ... 0.0 μB per formula unit
Space-group type ... Cmmm (65)

Lattice parameters (Å, degrees): 4.0842 4.0842 6.2265 90.00 90.00 108.17
Closest atoms and distances in Å follow each position.
Element x y z (fractional)
1 Hf 0.0000 0.0000 0.2407  2 Pd 2.62, 2 Pt 2.83
2 Hf 0.0000 0.0000 0.7593  2 Pd 2.62, 2 Pt 2.83
3 Pd 0.3119 0.6881 0.5000  3 Pd 2.49-2.53, 2 Hf 2.62
4 Pd 0.6881 0.3119 0.5000  3 Pd 2.49-2.53, 2 Hf 2.62
5 Pt 0.5000 0.5000 0.0000  4 Hf 2.83


Compare the structures above. Which one is the least stable? version three is.